LaFeW meta-GGA SCAN single point on PBEsol structure; V = 63 Å³/cell; symmetry = P3m1 (156); energy = -129.40 eV for the cell shown
1.0
3.951 0.000 0.000
-1.975 3.421 0.000
0.000 0.000 4.638
La Fe W
1 1 1
Cartesian
0.000 0.000 0.000
1.975 1.140 2.507
0.000 2.281 2.225


La4FeW meta-GGA SCAN single point on PBEsol structure; V = 157 Å³/cell; symmetry = F-43m (216); energy = -252.52 eV for the cell shown
1.0
0.000 4.281 4.281
4.281 0.000 4.281
4.281 4.281 0.000
La Fe W
4 1 1
Cartesian
1.074 1.074 1.074
3.207 3.207 1.074
3.207 1.074 3.207
1.074 3.207 3.207
6.421 6.421 6.421
4.281 4.281 4.281


La2FeW meta-GGA SCAN single point on PBEsol structure; V = 89 Å³/cell; symmetry = Fm-3m (225); energy = -170.84 eV for the cell shown
1.0
0.000 3.548 3.548
3.548 0.000 3.548
3.548 3.548 0.000
La Fe W
2 1 1
Cartesian
1.774 1.774 1.774
5.322 5.322 5.322
0.000 0.000 0.000
3.548 3.548 3.548